Record 1
ScPd14Pb PBE relaxed; SG = P4/mmm (123)
1.0
5.709 0.000 0.000
0.000 5.709 0.000
0.000 0.000 7.882
Sc Pd Pb
1 14 1
Direct
0.000 0.000 0.000
0.000 0.000 0.500
0.000 0.500 0.000
0.000 0.500 0.500
0.247 0.247 0.253
0.247 0.247 0.747
0.247 0.753 0.253
0.247 0.753 0.747
0.500 0.000 0.000
0.500 0.000 0.500
0.500 0.500 0.500
0.753 0.247 0.253
0.753 0.247 0.747
0.753 0.753 0.253
0.753 0.753 0.747
0.500 0.500 0.000

Record 2
BPdPt2 PBE relaxed; SG = Pnma (62)
1.0
5.576 0.000 0.000
0.000 7.926 0.000
0.000 0.000 4.867
B Pd Pt
4 4 8
Direct
0.103 0.250 0.088
0.397 0.750 0.588
0.603 0.250 0.412
0.897 0.750 0.912
0.036 0.750 0.326
0.464 0.250 0.826
0.536 0.750 0.174
0.964 0.250 0.674
0.180 0.571 0.812
0.180 0.929 0.812
0.320 0.071 0.312
0.320 0.429 0.312
0.680 0.571 0.688
0.680 0.929 0.688
0.820 0.071 0.188
0.820 0.429 0.188

Record 3
CaLa6Zn2 PBE relaxed; SG = P4/mmm (123)
1.0
5.079 0.000 0.000
0.000 5.079 0.000
0.000 0.000 11.665
Ca La Zn
1 6 2
Direct
0.000 0.000 0.000
0.000 0.000 0.500
0.000 0.500 0.267
0.000 0.500 0.733
0.500 0.000 0.267
0.500 0.000 0.733
0.500 0.500 0.500
0.500 0.500 0.104
0.500 0.500 0.896

Number 1: formation energy from the elements -0.26 eV/atom, E_tot -86.93 eV for the cell shown. Number 2: formation energy from the elements -0.23 eV/atom, E_tot -99.57 eV for the cell shown. Number 3: formation energy from the elements -0.02 eV/atom, E_tot -34.33 eV for the cell shown.